No. 1
A plane-wave DFT calculation with meta-GGA SCAN was carried out for MgSbTe2Ru at its PBEsol-relaxed geometry.

abc: 5.240 5.240 5.156
angles: 90.00 90.00 90.00
Fractional positions:
Mg: 0.000 0.000 0.000
Sb: 0.000 0.000 0.500
Te: 0.000 0.500 0.000
Te: 0.500 0.000 0.000
Ru: 0.500 0.500 0.500

Properties
The value obtained for the formation energy from raw total energies is 1.13 eV/atom. The value obtained for the electronic total energy is -29.187 eV/atom. Its spin magnetization is 2.3 μB/cell.


No. 2
A plane-wave DFT calculation with meta-GGA SCAN was carried out for KBe2Rh2 at its PBEsol-relaxed geometry.

abc: 3.984 3.984 9.620
angles: 90.00 90.00 90.00
Fractional positions:
K: 0.000 0.000 0.000
K: 0.500 0.500 0.500
Be: 0.000 0.500 0.250
Be: 0.000 0.500 0.750
Be: 0.500 0.000 0.250
Be: 0.500 0.000 0.750
Rh: 0.000 0.000 0.360
Rh: 0.000 0.000 0.640
Rh: 0.500 0.500 0.140
Rh: 0.500 0.500 0.860

Properties
The value obtained for the formation energy is 96 meV per atom. The value obtained for the electronic total energy is -16.820 eV/atom. Its spin magnetization is 0.0 μB/cell.


No. 3
A plane-wave DFT calculation with meta-GGA SCAN was carried out for CaTcS2 at its PBEsol-relaxed geometry.

abc: 6.291 6.291 6.291
angles: 90.00 90.00 90.00
Fractional positions:
Ca: 0.000 0.000 0.000
Ca: 0.000 0.500 0.500
Ca: 0.500 0.000 0.500
Ca: 0.500 0.500 0.000
Tc: 0.000 0.000 0.500
Tc: 0.000 0.500 0.000
Tc: 0.500 0.000 0.000
Tc: 0.500 0.500 0.500
S: 0.250 0.250 0.250
S: 0.250 0.250 0.750
S: 0.250 0.750 0.250
S: 0.250 0.750 0.750
S: 0.750 0.250 0.250
S: 0.750 0.250 0.750
S: 0.750 0.750 0.250
S: 0.750 0.750 0.750

Properties
The value obtained for the formation energy from raw total energies is -0.66 eV/atom. The value obtained for the relative energy among the computed polymorphs is 243 meV per atom. The value obtained for the electronic total energy is -16.660 eV/atom. Its spin magnetization is 4.0 μB/cell.


No. 4
A plane-wave DFT calculation with meta-GGA SCAN was carried out for LiMgCd2 at its PBEsol-relaxed geometry.

abc: 3.519 3.519 6.246
angles: 90.00 90.00 90.00
Fractional positions:
Li: 0.000 0.000 0.000
Mg: 0.500 0.500 0.259
Cd: 0.000 0.000 0.514
Cd: 0.500 0.500 0.784

Properties
The value obtained for the formation energy is -189 meV per atom. The value obtained for the electronic total energy is -17.237 eV/atom. Its spin magnetization is 0.0 μB/cell.


No. 5
A plane-wave DFT calculation with meta-GGA SCAN was carried out for KFeSe at its PBEsol-relaxed geometry.

abc: 6.356 6.356 6.356
angles: 90.00 90.00 90.00
Fractional positions:
K: 0.000 0.000 0.000
K: 0.000 0.500 0.500
K: 0.500 0.000 0.500
K: 0.500 0.500 0.000
Fe: 0.250 0.250 0.250
Fe: 0.250 0.750 0.750
Fe: 0.750 0.250 0.750
Fe: 0.750 0.750 0.250
Se: 0.000 0.000 0.500
Se: 0.000 0.500 0.000
Se: 0.500 0.000 0.000
Se: 0.500 0.500 0.500

Properties
The value obtained for the formation energy from raw total energies is -0.06 eV/atom. The value obtained for the relative energy among the computed polymorphs is 35 meV per atom. The value obtained for the electronic total energy is -15.574 eV/atom. Its spin magnetization is 12.0 μB/cell.


No. 6
A plane-wave DFT calculation with meta-GGA SCAN was carried out for FeCuSi3 at its PBEsol-relaxed geometry.

abc: 4.276 4.276 4.276
angles: 90.00 90.00 90.00
Fractional positions:
Fe: 0.000 0.000 0.000
Cu: 0.500 0.500 0.500
Si: 0.000 0.000 0.500
Si: 0.000 0.500 0.000
Si: 0.500 0.000 0.000

Properties
The value obtained for the formation energy from raw total energies is 0.60 eV/atom. The value obtained for the electronic total energy is -12.070 eV/atom. Its spin magnetization is 0.0 μB/cell.


No. 7
A plane-wave DFT calculation with meta-GGA SCAN was carried out for KAlAg2 at its PBEsol-relaxed geometry.

abc: 4.470 5.522 7.419
angles: 90.00 90.00 90.00
Fractional positions:
K: 0.000 0.000 0.000
K: 0.500 0.500 0.500
Al: 0.000 0.000 0.500
Al: 0.500 0.500 0.000
Ag: 0.000 0.500 0.195
Ag: 0.000 0.500 0.805
Ag: 0.500 0.000 0.305
Ag: 0.500 0.000 0.695

Properties
The value obtained for the formation energy is 252 meV per atom. The value obtained for the electronic total energy is -19.452 eV/atom. Its spin magnetization is 0.0 μB/cell.


No. 8
A plane-wave DFT calculation with meta-GGA SCAN was carried out for NaNiBO3 at its PBEsol-relaxed geometry.

abc: 4.994 4.994 5.506
angles: 96.28 96.28 120.88
Fractional positions:
Na: 0.165 0.835 0.750
Na: 0.835 0.165 0.250
Ni: 0.500 0.500 0.000
Ni: 0.500 0.500 0.500
B: 0.168 0.832 0.250
B: 0.832 0.168 0.750
O: 0.133 0.311 0.694
O: 0.311 0.133 0.194
O: 0.327 0.673 0.250
O: 0.673 0.327 0.750
O: 0.689 0.867 0.806
O: 0.867 0.689 0.306

Properties
The value obtained for the formation energy from raw total energies is -2.03 eV/atom. The value obtained for the electronic total energy is -9.778 eV/atom. Its spin magnetization is 4.0 μB/cell.


No. 9
A plane-wave DFT calculation with meta-GGA SCAN was carried out for NiBPOs2 at its PBEsol-relaxed geometry.

abc: 4.058 4.058 3.775
angles: 90.00 90.00 90.00
Fractional positions:
Ni: 0.000 0.000 0.000
B: 0.500 0.500 0.500
P: 0.500 0.500 0.000
Os: 0.000 0.500 0.500
Os: 0.500 0.000 0.500

Properties
The value obtained for the formation energy is 947 meV per atom. The value obtained for the electronic total energy is -34.605 eV/atom. Its spin magnetization is 0.0 μB/cell.


No. 10
A plane-wave DFT calculation with meta-GGA SCAN was carried out for AlNi2W at its PBEsol-relaxed geometry.

abc: 2.759 4.202 4.399
angles: 90.00 90.00 90.00
Fractional positions:
Al: 0.000 0.000 0.000
Ni: 0.000 0.500 0.500
Ni: 0.500 0.500 0.000
W: 0.500 0.000 0.500

Properties
The value obtained for the formation energy is 33 meV per atom. The value obtained for the electronic total energy is -27.414 eV/atom. Its spin magnetization is 0.0 μB/cell.


No. 11
A plane-wave DFT calculation with meta-GGA SCAN was carried out for CaAgBr2 at its PBEsol-relaxed geometry.

abc: 4.153 4.153 11.033
angles: 90.00 90.00 90.00
Fractional positions:
Ca: 0.000 0.000 0.000
Ca: 0.500 0.500 0.500
Ag: 0.000 0.500 0.250
Ag: 0.500 0.000 0.750
Br: 0.000 0.000 0.500
Br: 0.000 0.500 0.750
Br: 0.500 0.000 0.250
Br: 0.500 0.500 0.000

Properties
The value obtained for the formation energy from raw total energies is -0.95 eV/atom. The value obtained for the electronic total energy is -20.940 eV/atom. Its spin magnetization is 0.0 μB/cell.


No. 12
A plane-wave DFT calculation with meta-GGA SCAN was carried out for MgTi at its PBEsol-relaxed geometry.

abc: 4.746 2.915 16.510
angles: 90.00 90.00 90.00
Fractional positions:
Mg: 0.000 0.000 0.000
Mg: 0.000 0.000 0.320
Mg: 0.000 0.500 0.500
Mg: 0.000 0.500 0.820
Mg: 0.500 0.000 0.895
Mg: 0.500 0.500 0.395
Ti: 0.000 0.000 0.658
Ti: 0.000 0.500 0.158
Ti: 0.500 0.000 0.215
Ti: 0.500 0.000 0.575
Ti: 0.500 0.500 0.075
Ti: 0.500 0.500 0.715

Properties
The value obtained for the formation energy is 81 meV per atom. The value obtained for the electronic total energy is -10.421 eV/atom. Its spin magnetization is 0.2 μB/cell.


| no. | DOS(E_F) (states/eV/f.u.) |
| --- | --- |
| 1 | 3.6 |
| 2 | 2.2 |
| 3 | 1.2 |
| 4 | 1.1 |
| 5 | 0.2 |
| 6 | 4.0 |
| 7 | 1.5 |
| 8 | 0.0 |
| 9 | 2.3 |
| 10 | 3.0 |
| 11 | 1.1 |
| 12 | 1.1 |